[1]
Density functional theory data (PBE) for an optimized crystal structure of TbPmAlPt.

Properties
Polymorph energy (0 for the lowest one) (eV/f.u.): 0.54
Electronic total energy (eV/cell): -21.8
E_form (eV/atom): -0.667

Lattice parameters (Å, degrees): 5.1135 5.1135 5.1135 60.00 60.00 60.00
Positions (direct):
Tb (0.0000, 0.0000, 0.0000)
Al (0.2500, 0.2500, 0.2500)
Pt (0.7500, 0.7500, 0.7500)
Pm (0.5000, 0.5000, 0.5000)



[2]
Density functional theory data (PBE) for an optimized crystal structure of Ce5ZrAs6.

Properties
Electronic total energy (eV/cell): -82.6
E_form (eV/atom): -1.372

Lattice parameters (Å, degrees): 7.1929 7.1901 7.1892 60.00 80.38 70.49
Each line ends with the local moment (μB).
Positions (direct):
As (0.7591, 0.0798, 0.3224)  -0.02
As (0.2409, 0.5978, 0.3224)  -0.02
As (0.2453, 0.2396, 0.0000)  -0.02
As (0.7547, 0.7604, 0.0000)  -0.02
As (0.7591, 0.4022, 0.6776)  -0.02
As (0.2409, 0.9202, 0.6776)  -0.02
Zr (0.0000, 0.0000, 0.0000)  0.04
Ce (0.5000, 0.1700, 0.6600)  0.57
Ce (0.0000, 0.3343, 0.3313)  0.54
Ce (0.5000, 0.5000, 0.0000)  0.57
Ce (0.0000, 0.6657, 0.6687)  0.54
Ce (0.5000, 0.8300, 0.3400)  0.57



[3]
Density functional theory data (PBE) for an optimized crystal structure of FePtSe2.

Properties
Polymorph energy (0 for the lowest one) (eV/f.u.): 0.61
Raw formation energy (kJ/mol of formula units): -11
Electronic total energy (eV/cell): -21.6

Lattice parameters (Å, degrees): 7.8941 7.8941 7.8941 24.23 24.23 24.23
Each line ends with the local moment (μB).
Positions (direct):
Se (0.8955, 0.8955, 0.8955)  0.02
Se (0.1045, 0.1045, 0.1045)  0.02
Pt (0.0000, 0.0000, 0.0000)  0.07
Fe (0.5000, 0.5000, 0.5000)  1.57



[4]
Density functional theory data (PBE) for an optimized crystal structure of La3I.

Properties
Raw formation energy (kJ/mol of formula units): -155
Electronic total energy (eV/cell): -17.9

Lattice parameters (Å, degrees): 3.9727 6.6481 6.4863 120.83 107.83 90.00
Positions (direct):
I (0.0000, 0.0680, 0.0000)
La (0.2894, 0.6108, 0.5789)
La (0.5000, 0.4559, 0.0000)
La (0.7106, 0.0319, 0.4211)